Computed, not measured: crystalline LiPr2VO6 at its relaxed geometry at the PBE with a Hubbard U level of DFT.

Unit cell a=5.465 b=5.709 c=9.453 alpha=90.00 beta=125.08 gamma=90.00
Space group P2_1/c (No. 14)
One atom of each set of equivalent atoms:
Li (0.000, 0.000, 0.000)
Pr (0.236, 0.061, 0.749)
V (0.500, 0.000, 0.500)
O (0.176, 0.187, 0.457)
O (0.267, 0.721, 0.453)
O (0.348, 0.025, 0.262)

Properties
Calculated density   5.99 Mg/m³
DFT total energy   -7.585 eV per atom
Density of states at the Fermi level   0.000 states/eV/atom